# AcAgWO6 | the Alexandria database | GGA+U | optimized geometry
data_AcAgWO6
_chemical_formula_sum 'Ac2 Ag2 W2 O12'
_symmetry_space_group_name_H-M 'P 1'
_symmetry_Int_Tables_number 1
_symmetry_space_group_name_Hall 'P 1'
_cell_length_a 5.240
_cell_length_b 5.240
_cell_length_c 10.118
_cell_angle_alpha 90.00
_cell_angle_beta 90.00
_cell_angle_gamma 90.00
loop_
_atom_site_label
_atom_site_fract_x
_atom_site_fract_y
_atom_site_fract_z
_atom_site_occupancy
Ac1 0.000 0.000 0.000 1
Ac2 0.500 0.500 0.500 1
Ag1 0.000 0.000 0.330 1
Ag2 0.500 0.500 0.830 1
W1 0.000 0.000 0.663 1
W2 0.500 0.500 0.163 1
O1 0.165 0.165 0.500 1
O2 0.184 0.184 0.787 1
O3 0.230 0.230 0.168 1
O4 0.270 0.730 0.668 1
O5 0.316 0.684 0.287 1
O6 0.335 0.665 0.000 1
O7 0.665 0.335 0.000 1
O8 0.684 0.316 0.287 1
O9 0.730 0.270 0.668 1
O10 0.770 0.770 0.168 1
O11 0.816 0.816 0.787 1
O12 0.835 0.835 0.500 1
# Spin magnetization   0.00 μB/cell
# Space group   P4_2nm
# V   277.8 Å³ per cell
# Energy   -6.62 eV per atom